Computed, not measured: an optimized crystal structure of Pm3TlTe at the PBE-GGA level of DFT.

Unit cell a=16.2002 b=11.5564 c=7.2365 alpha=90.00 beta=106.12 gamma=90.00
Closest atoms and distances in Å follow each position.
Space group C2/c (No. 15)
Asymmetric unit:
Pm  0.0933  0.0565  0.4172 (multiplicity 8)  1 Te 3.06, 1 Tl 3.17, 2 Pm 3.31-3.42
Pm  0.1057  0.2381  0.9601 (multiplicity 8)  2 Te 3.11, 2 Tl 3.11-3.17, 1 Pm 3.42
Pm  0.1670  0.3996  0.5648 (multiplicity 8)  3 Te 3.18-3.38, 3 Tl 3.27-3.46
Tl  0.0000  0.2902  0.2500 (multiplicity 4)  1 Tl 2.96, 6 Pm 3.11-3.27
Tl  0.0000  0.4540  0.7500 (multiplicity 4)  1 Tl 2.96, 2 Pm 3.17
Te  0.2379  0.1401  0.7597 (multiplicity 8)  6 Pm 3.06-3.38

Computed properties:
Raw formation energy = -0.550 eV per atom
Magnetization = 0.0001 μB/atom